This record from Alexandria describes a relaxed AcTbHo3 crystal. The functional is PBE-GGA.

Computed properties:
Excess energy over the best structure of this formula in the dataset ... 0 meV/atom
Formation enthalpy at 0 K ... 0.315 eV/f.u.
Total moment ... 0.00 μB per formula unit
Calculated density ... 8.636 g cm⁻³

a = 15.5202 Å, b = 13.4188 Å, c = 6.6950 Å
α = 90.00°, β = 103.68°, γ = 90.00°
Closest atoms and distances in Å follow each position.
Space group C2/c (No. 15)
One atom of each set of equivalent atoms:
Ac1 0.1035 0.0760 0.4566 x8  8 Ho 3.61-3.92, 4 Ac 3.71-3.96, 1 Tb 3.79
Tb1 0.0000 0.3220 0.2500 x4  6 Ho 3.31-3.57, 3 Tb 3.45-3.60
Tb2 0.0000 0.4210 0.7500 x4  3 Tb 3.45-3.60, 6 Ho 3.51-3.59
Ho1 0.1029 0.1936 0.9535 x8  3 Ho 3.24-3.56, 2 Tb 3.31-3.56, 1 Ac 3.62
Ho2 0.1956 0.4217 0.1407 x8  6 Ho 3.49-3.71, 2 Tb 3.51-3.55, 1 Ac 3.61
Ho3 0.1987 0.3166 0.6499 x8  5 Ho 3.24-3.59, 2 Tb 3.57-3.59, 1 Ac 3.61



This record from Alexandria describes a relaxed Ti2AlCo crystal. The functional is PBE-GGA.

Computed properties:
Formation enthalpy at 0 K ... -1.378 eV/f.u.
Total moment ... 0.00 μB per formula unit
Calculated density ... 5.046 g cm⁻³

a = 2.9252 Å, b = 10.1764 Å, c = 8.0319 Å
α = 90.00°, β = 90.00°, γ = 90.00°
Closest atoms and distances in Å follow each position.
Space group Cmcm (No. 63)
One atom of each set of equivalent atoms:
Ti1 0.0000 0.1330 0.0513 x8  2 Co 2.38
Al1 0.0000 0.4409 0.2500 x4  2 Co 2.59
Co1 0.0000 0.2689 0.7500 x4  4 Ti 2.38, 2 Al 2.59



This record from Alexandria describes a relaxed Sm5Ag2Rh2 crystal. The functional is PBE-GGA.

Computed properties:
Excess energy over the best structure of this formula in the dataset ... 56 meV/atom
Formation enthalpy at 0 K ... -3.710 eV/f.u.
Total moment ... 0.00 μB per formula unit
Calculated density ... 8.421 g cm⁻³

a = 19.5543 Å, b = 6.4048 Å, c = 7.3894 Å
α = 90.00°, β = 90.00°, γ = 90.00°
Closest atoms and distances in Å follow each position.
Space group Ima2 (No. 46)
One atom of each set of equivalent atoms:
Sm1 0.0764 0.1623 0.0000 x8  2 Rh 2.86-3.02, 3 Ag 3.15-3.19
Sm2 0.1616 0.6587 0.1352 x8  2 Rh 2.90-2.93, 2 Ag 2.91-2.98
Sm3 0.2500 0.1487 0.2771 x4  2 Rh 2.83
Ag1 0.0572 0.6235 0.8439 x8  1 Ag 2.74, 2 Rh 2.86-2.98, 2 Sm 2.91-2.98
Rh1 0.0000 0.0000 0.7019 x4  4 Sm 2.86-3.02, 4 Ag 2.86-2.98
Rh2 0.2500 0.5510 0.4359 x4  6 Sm 2.83-2.93



This record from Alexandria describes a relaxed NbPt8Rh2 crystal. The functional is PBE-GGA.

Computed properties:
Formation enthalpy at 0 K ... -3.181 eV/f.u.
Total moment ... 0.00 μB per formula unit
Calculated density ... 18.069 g cm⁻³

a = 14.2556 Å, b = 3.9595 Å, c = 6.2828 Å
α = 90.00°, β = 105.48°, γ = 90.00°
Closest atoms and distances in Å follow each position.
Space group C2/m (No. 12)
One atom of each set of equivalent atoms:
Nb1 0.0000 0.0000 0.0000 x2  12 Pt 2.75-2.80
Pt1 0.0459 0.5000 0.7292 x4  9 Pt 2.77-2.86, 1 Rh 2.77, 2 Nb 2.80
Pt2 0.0923 0.0000 0.4441 x4  1 Nb 2.75, 8 Pt 2.76-2.90, 3 Rh 2.76-2.78
Pt3 0.1345 0.5000 0.1789 x4  7 Pt 2.76-2.82, 3 Rh 2.76-2.86, 2 Nb 2.78
Pt4 0.1821 0.0000 0.9117 x4  8 Pt 2.78-2.87, 1 Nb 2.80, 3 Rh 2.83-2.85
Rh1 0.2236 0.5000 0.6269 x4  10 Pt 2.76-2.86, 2 Rh 2.77



This record from Alexandria describes a relaxed BaRh2W crystal. The functional is PBE-GGA.

Computed properties:
Excess energy over the best structure of this formula in the dataset ... 288 meV/atom
Formation enthalpy at 0 K ... 1.623 eV/f.u.
Total moment ... 0.00 μB per formula unit
Calculated density ... 9.522 g cm⁻³

a = 3.3136 Å, b = 4.2998 Å, c = 6.5367 Å
α = 90.00°, β = 99.33°, γ = 90.00°
Closest atoms and distances in Å follow each position.
Space group Pm (No. 6)
One atom of each set of equivalent atoms:
Ba1 0.0000 0.0000 0.0000 x1  5 Rh 3.17-3.18, 2 Ba 3.31
Rh1 0.5692 0.0000 0.5296 x1  2 W 2.53, 2 Rh 2.80
Rh2 0.5844 0.5000 0.2572 x1  2 W 2.45-2.48
W1 0.1682 0.5000 0.5402 x1  4 Rh 2.45-2.53



This record from Alexandria describes a relaxed Li2CoRe2 crystal. The functional is PBE-GGA.

Computed properties:
Excess energy over the best structure of this formula in the dataset ... 128 meV/atom
Formation enthalpy at 0 K ... 3.872 eV/f.u.
Total moment ... 0.82 μB per formula unit
Calculated density ... 10.776 g cm⁻³

a = 3.0825 Å, b = 3.0825 Å, c = 14.4409 Å
α = 90.00°, β = 90.00°, γ = 90.00°
Closest atoms and distances in Å follow each position.
Space group I4/mmm (No. 139)
One atom of each set of equivalent atoms:
Li1 0.0000 0.5000 0.2500 x4  4 Li 2.18
Co1 0.0000 0.0000 0.0000 x2  8 Re 2.51
Re1 0.0000 0.0000 0.4133 x4  1 Re 2.50, 4 Co 2.51



This record from Alexandria describes a relaxed AlNiCl2 crystal. The functional is PBE-GGA.

Computed properties:
Excess energy over the best structure of this formula in the dataset ... 180 meV/atom
Total moment ... 0.08 μB per formula unit
Calculated density ... 3.116 g cm⁻³

a = 14.2035 Å, b = 3.4892 Å, c = 3.4696 Å
α = 90.00°, β = 103.97°, γ = 90.00°
Closest atoms and distances in Å follow each position.
Space group C2/m (No. 12)
One atom of each set of equivalent atoms:
Al1 0.0000 0.0000 0.0000 x2  4 Ni 2.46, 4 Cl 2.51
Ni1 0.0000 0.5000 0.5000 x2  4 Al 2.46, 4 Cl 2.51
Cl1 0.1314 0.0000 0.6301 x4  2 Al 2.51, 2 Ni 2.51



This record from Alexandria describes a relaxed Dy10Ho4Th crystal. The functional is PBE-GGA.

Computed properties:
Formation enthalpy at 0 K ... 5.826 eV/f.u.
Total moment ... 0.75 μB per formula unit
Calculated density ... 8.545 g cm⁻³

a = 9.6978 Å, b = 9.6978 Å, c = 10.4004 Å
α = 90.00°, β = 90.00°, γ = 90.00°
Closest atoms and distances in Å follow each position.
Space group I4/m (No. 87)
One atom of each set of equivalent atoms:
Dy1 0.0000 0.5000 0.2500 x4  4 Ho 3.13, 4 Dy 3.14
Dy2 0.1133 0.7879 0.1607 x16  5 Dy 3.14-3.34
Ho1 0.0688 0.6653 0.5000 x8  2 Dy 3.13, 1 Th 3.31, 1 Ho 3.47
Th1 0.0000 0.0000 0.5000 x2  4 Ho 3.31



Q: Among the records above, which one has the lowest calculated density?
A: AlNiCl2



Repeat the first record exactly.
This record from Alexandria describes a relaxed AcTbHo3 crystal. The functional is PBE-GGA.

Computed properties:
Excess energy over the best structure of this formula in the dataset ... 0 meV/atom
Formation enthalpy at 0 K ... 0.315 eV/f.u.
Total moment ... 0.00 μB per formula unit
Calculated density ... 8.636 g cm⁻³

a = 15.5202 Å, b = 13.4188 Å, c = 6.6950 Å
α = 90.00°, β = 103.68°, γ = 90.00°
Closest atoms and distances in Å follow each position.
Space group C2/c (No. 15)
One atom of each set of equivalent atoms:
Ac1 0.1035 0.0760 0.4566 x8  8 Ho 3.61-3.92, 4 Ac 3.71-3.96, 1 Tb 3.79
Tb1 0.0000 0.3220 0.2500 x4  6 Ho 3.31-3.57, 3 Tb 3.45-3.60
Tb2 0.0000 0.4210 0.7500 x4  3 Tb 3.45-3.60, 6 Ho 3.51-3.59
Ho1 0.1029 0.1936 0.9535 x8  3 Ho 3.24-3.56, 2 Tb 3.31-3.56, 1 Ac 3.62
Ho2 0.1956 0.4217 0.1407 x8  6 Ho 3.49-3.71, 2 Tb 3.51-3.55, 1 Ac 3.61
Ho3 0.1987 0.3166 0.6499 x8  5 Ho 3.24-3.59, 2 Tb 3.57-3.59, 1 Ac 3.61